La4Pb3 PBEsol optimized geometry; spin magnetization = 0.000 μB/f.u.; symmetry = I-43d (220); ρ = 8.448 Mg/m³; calculated formation energy = -4.45 eV per formula unit; total DFT energy (no corrections) = -5.405 eV per atom
1.0
8.440 0.000 0.000
-2.813 7.957 0.000
-2.813 -3.979 6.891
Pb La
6 8
Direct
0.625 0.250 0.875
0.375 0.625 0.750
0.750 0.125 0.375
0.250 0.375 0.125
0.125 0.875 0.250
0.875 0.750 0.625
0.000 0.500 0.858
0.500 0.358 0.500
0.642 0.642 0.142
0.500 0.858 0.500
0.358 0.000 0.000
0.000 0.500 0.358
0.142 0.142 0.642
0.858 0.000 0.000



La3Pb PBEsol optimized geometry; spin magnetization = 0.001 μB/f.u.; symmetry = Pm-3n (223); ρ = 8.100 Mg/m³; calculated formation energy = -1.26 eV per formula unit; total DFT energy (no corrections) = -5.324 eV per atom
1.0
-4.229 -4.732 -0.136
4.730 -4.232 0.140
-0.195 -0.008 6.345
La Pb
6 2
Direct
0.000 0.750 0.500
0.750 0.500 0.000
0.000 0.250 0.500
0.500 0.000 0.750
0.500 0.000 0.250
0.250 0.500 0.000
0.000 0.000 0.000
0.500 0.500 0.500